Entry 1:
# Ca4Mg3Si8NiO24 | Alexandria via LeMat-Bulk | PBEsol | relaxed
# Raw formation energy ... -113.75 eV per formula unit
# Magnetization ... 0.05 μB/atom
data_Ca4Mg3Si8NiO24
_chemical_formula_sum 'Ca4 Mg3 Si8 Ni1 O24'
_cell_length_a 5.253
_cell_length_b 8.882
_cell_length_c 9.748
_cell_angle_alpha 90.00
_cell_angle_beta 105.33
_cell_angle_gamma 90.00
_symmetry_space_group_name_H-M 'P 1'
_symmetry_Int_Tables_number 1
_symmetry_space_group_name_Hall 'P 1'
loop_
_atom_site_label
_atom_site_type_symbol
_atom_site_fract_x
_atom_site_fract_y
_atom_site_fract_z
_atom_site_occupancy
Ca1 Ca 0.000 0.000 0.000 1
Ca2 Ca 0.000 0.099 0.500 1
Ca3 Ca 0.500 0.496 0.500 1
Ca4 Ca 0.500 0.598 0.000 1
Mg1 Mg 0.000 0.387 0.000 1
Mg2 Mg 0.000 0.707 0.500 1
Mg3 Mg 0.500 0.888 0.500 1
Si1 Si 0.193 0.704 0.213 1
Si2 Si 0.194 0.391 0.714 1
Si3 Si 0.307 0.893 0.787 1
Si4 Si 0.308 0.203 0.287 1
Si5 Si 0.692 0.203 0.713 1
Si6 Si 0.693 0.893 0.213 1
Si7 Si 0.806 0.391 0.286 1
Si8 Si 0.807 0.704 0.787 1
Ni1 Ni 0.500 0.207 0.000 1
O1 O 0.107 0.316 0.351 1
O2 O 0.107 0.781 0.852 1
O3 O 0.209 0.546 0.137 1
O4 O 0.211 0.549 0.638 1
O5 O 0.222 0.887 0.615 1
O6 O 0.224 0.210 0.115 1
O7 O 0.277 0.709 0.385 1
O8 O 0.279 0.385 0.886 1
O9 O 0.288 0.052 0.861 1
O10 O 0.289 0.045 0.362 1
O11 O 0.392 0.278 0.648 1
O12 O 0.393 0.817 0.148 1
O13 O 0.607 0.817 0.852 1
O14 O 0.608 0.278 0.352 1
O15 O 0.711 0.045 0.638 1
O16 O 0.712 0.052 0.139 1
O17 O 0.721 0.385 0.114 1
O18 O 0.723 0.709 0.615 1
O19 O 0.776 0.210 0.885 1
O20 O 0.778 0.887 0.385 1
O21 O 0.789 0.549 0.362 1
O22 O 0.791 0.546 0.863 1
O23 O 0.893 0.316 0.649 1
O24 O 0.893 0.781 0.148 1


Entry 2:
# TlC | Alexandria via LeMat-Bulk | PBEsol | relaxed
# Fermi-level density of states ... 2.7 states/eV/cell
# E_form ... 2.082 eV per atom
# Magnetization ... 0.09 μB/atom
# Energy above the lowest structure with this stoichiometry ... 0.00 eV per formula unit
data_TlC
_chemical_formula_sum 'Tl2 C2'
_cell_length_a 6.527
_cell_length_b 6.527
_cell_length_c 6.527
_cell_angle_alpha 34.30
_cell_angle_beta 34.30
_cell_angle_gamma 34.30
_symmetry_space_group_name_H-M 'P 1'
_symmetry_Int_Tables_number 1
_symmetry_space_group_name_Hall 'P 1'
loop_
_atom_site_label
_atom_site_type_symbol
_atom_site_fract_x
_atom_site_fract_y
_atom_site_fract_z
_atom_site_occupancy
Tl1 Tl 0.094 0.094 0.094 1
Tl2 Tl 0.906 0.906 0.906 1
C1 C 0.238 0.238 0.238 1
C2 C 0.762 0.762 0.762 1


> Which of these has the highest magnetization?

TlC


> Which value of magnetization does entry 2 give?

0.09 μB/atom


> Look up the magnetization of the second one.

0.09 μB/atom